1.
# LaTe2PbAuS

An optimized crystal structure of LaTe2PbAuS (GGA-PBE, OQMD via LeMat-Bulk).

Cell and atoms, written as CIF:
```
data_LaTe2PbAuS
_symmetry_space_group_name_H-M 'P 1'
_symmetry_Int_Tables_number 1
_cell_length_a 7.703
_cell_length_b 7.703
_cell_length_c 10.756
_cell_angle_alpha 90.00
_cell_angle_beta 90.00
_cell_angle_gamma 146.94
loop_
_symmetry_equiv_pos_as_xyz
'x,y,z'
loop_
_atom_site_label
_atom_site_fract_x
_atom_site_fract_y
_atom_site_fract_z
_atom_site_occupancy
Au1 0.478 0.522 0.250 1
Au2 0.522 0.478 0.750 1
Te1 0.655 0.345 0.935 1
Te2 0.345 0.655 0.435 1
Te3 0.655 0.345 0.565 1
Te4 0.345 0.655 0.065 1
La1 0.000 0.000 0.000 1
La2 0.000 0.000 0.500 1
S1 0.077 0.923 0.250 1
S2 0.923 0.077 0.750 1
Pb1 0.266 0.734 0.750 1
Pb2 0.734 0.266 0.250 1
```

## Properties
The total energy comes out at -4.570 eV/atom. As for the space group: No. 63.


2.
# LaPbAuSe3

An optimized crystal structure of LaPbAuSe3 (GGA-PBE, OQMD via LeMat-Bulk).

Cell and atoms, written as CIF:
```
data_LaPbAuSe3
_symmetry_space_group_name_H-M 'P 1'
_symmetry_Int_Tables_number 1
_cell_length_a 7.296
_cell_length_b 7.296
_cell_length_c 11.114
_cell_angle_alpha 90.00
_cell_angle_beta 90.00
_cell_angle_gamma 146.48
loop_
_symmetry_equiv_pos_as_xyz
'x,y,z'
loop_
_atom_site_label
_atom_site_fract_x
_atom_site_fract_y
_atom_site_fract_z
_atom_site_occupancy
Se1 0.148 0.852 0.435 1
Se2 0.852 0.148 0.565 1
Se3 0.148 0.852 0.065 1
Se4 0.591 0.409 0.750 1
Se5 0.852 0.148 0.935 1
Se6 0.409 0.591 0.250 1
Pb1 0.731 0.269 0.250 1
Pb2 0.269 0.731 0.750 1
Au1 0.970 0.030 0.750 1
Au2 0.030 0.970 0.250 1
La1 0.500 0.500 0.500 1
La2 0.500 0.500 0.000 1
```

## Properties
The value obtained for the distance to the lowest polymorph of the same formula is 0 meV per atom. As for the space group: No. 63.


3.
# LaPbAuSe3

An optimized crystal structure of LaPbAuSe3 (GGA-PBE, OQMD via LeMat-Bulk).

Cell and atoms, written as CIF:
```
data_LaPbAuSe3
_symmetry_space_group_name_H-M 'P 1'
_symmetry_Int_Tables_number 1
_cell_length_a 7.978
_cell_length_b 4.254
_cell_length_c 10.266
_cell_angle_alpha 90.00
_cell_angle_beta 104.51
_cell_angle_gamma 90.00
loop_
_symmetry_equiv_pos_as_xyz
'x,y,z'
loop_
_atom_site_label
_atom_site_fract_x
_atom_site_fract_y
_atom_site_fract_z
_atom_site_occupancy
Se1 0.424 0.750 0.638 1
Se2 0.031 0.250 0.315 1
Se3 0.698 0.250 0.962 1
Se4 0.576 0.250 0.362 1
Se5 0.302 0.750 0.038 1
Se6 0.969 0.750 0.685 1
Pb1 0.739 0.750 0.200 1
Pb2 0.261 0.250 0.800 1
Au1 0.119 0.250 0.082 1
Au2 0.881 0.750 0.918 1
La1 0.699 0.250 0.666 1
La2 0.301 0.750 0.334 1
```

## Properties
The value obtained for the distance to the lowest polymorph of the same formula is 18 meV per atom. As for the space group: No. 11.


4.
# LaTe2PbAuSe

An optimized crystal structure of LaTe2PbAuSe (GGA-PBE, OQMD via LeMat-Bulk).

Cell and atoms, written as CIF:
```
data_LaTe2PbAuSe
_symmetry_space_group_name_H-M 'P 1'
_symmetry_Int_Tables_number 1
_cell_length_a 7.748
_cell_length_b 7.748
_cell_length_c 11.022
_cell_angle_alpha 90.00
_cell_angle_beta 90.00
_cell_angle_gamma 147.25
loop_
_symmetry_equiv_pos_as_xyz
'x,y,z'
loop_
_atom_site_label
_atom_site_fract_x
_atom_site_fract_y
_atom_site_fract_z
_atom_site_occupancy
Pb1 0.246 0.754 0.750 1
Pb2 0.754 0.246 0.250 1
Se1 0.416 0.584 0.250 1
Se2 0.584 0.416 0.750 1
Te1 0.846 0.154 0.564 1
Te2 0.846 0.154 0.936 1
Te3 0.154 0.846 0.064 1
Te4 0.154 0.846 0.436 1
La1 0.500 0.500 0.000 1
La2 0.500 0.500 0.500 1
Au1 0.973 0.027 0.750 1
Au2 0.027 0.973 0.250 1
```

## Properties
The total energy comes out at -4.462 eV/atom. As for the space group: No. 63.


5.
# LaYPb2Au2

An optimized crystal structure of LaYPb2Au2 (GGA-PBE, OQMD via LeMat-Bulk).

Cell and atoms, written as CIF:
```
data_LaYPb2Au2
_symmetry_space_group_name_H-M 'P 1'
_symmetry_Int_Tables_number 1
_cell_length_a 4.850
_cell_length_b 4.850
_cell_length_c 7.733
_cell_angle_alpha 90.00
_cell_angle_beta 90.00
_cell_angle_gamma 120.00
loop_
_symmetry_equiv_pos_as_xyz
'x,y,z'
loop_
_atom_site_label
_atom_site_fract_x
_atom_site_fract_y
_atom_site_fract_z
_atom_site_occupancy
Au1 0.333 0.667 0.691 1
Au2 0.667 0.333 0.159 1
Pb1 0.667 0.333 0.776 1
Pb2 0.333 0.667 0.267 1
La1 0.000 0.000 0.495 1
Y1 0.000 0.000 0.998 1
```

## Properties
The total energy comes out at -4.892 eV/atom. As for the space group: No. 156.


6.
# LaPd4Au

An optimized crystal structure of LaPd4Au (GGA-PBE, OQMD via LeMat-Bulk).

Cell and atoms, written as CIF:
```
data_LaPd4Au
_symmetry_space_group_name_H-M 'P 1'
_symmetry_Int_Tables_number 1
_cell_length_a 5.404
_cell_length_b 5.404
_cell_length_c 5.404
_cell_angle_alpha 60.00
_cell_angle_beta 60.00
_cell_angle_gamma 60.00
loop_
_symmetry_equiv_pos_as_xyz
'x,y,z'
loop_
_atom_site_label
_atom_site_fract_x
_atom_site_fract_y
_atom_site_fract_z
_atom_site_occupancy
Pd1 0.375 0.375 0.375 1
Pd2 0.876 0.375 0.375 1
Pd3 0.375 0.375 0.876 1
Pd4 0.375 0.876 0.375 1
Au1 0.000 0.000 0.000 1
La1 0.750 0.750 0.750 1
```

## Properties
As for the formation energy from the elements: -607 meV/atom. As for the space group: No. 216.


7.
# LaPdAu

An optimized crystal structure of LaPdAu (GGA-PBE, OQMD via LeMat-Bulk).

Cell and atoms, written as CIF:
```
data_LaPdAu
_symmetry_space_group_name_H-M 'P 1'
_symmetry_Int_Tables_number 1
_cell_length_a 4.906
_cell_length_b 4.906
_cell_length_c 4.906
_cell_angle_alpha 60.00
_cell_angle_beta 60.00
_cell_angle_gamma 60.00
loop_
_symmetry_equiv_pos_as_xyz
'x,y,z'
loop_
_atom_site_label
_atom_site_fract_x
_atom_site_fract_y
_atom_site_fract_z
_atom_site_occupancy
Au1 0.250 0.250 0.250 1
La1 0.000 0.000 0.000 1
Pd1 0.750 0.750 0.750 1
```

## Properties
As for the formation energy from the elements: -420 meV/atom. As for the space group: No. 216.


8.
# La2Pd2Au

An optimized crystal structure of La2Pd2Au (GGA-PBE, OQMD via LeMat-Bulk).

Cell and atoms, written as CIF:
```
data_La2Pd2Au
_symmetry_space_group_name_H-M 'P 1'
_symmetry_Int_Tables_number 1
_cell_length_a 7.805
_cell_length_b 7.805
_cell_length_c 3.927
_cell_angle_alpha 90.00
_cell_angle_beta 90.00
_cell_angle_gamma 90.00
loop_
_symmetry_equiv_pos_as_xyz
'x,y,z'
loop_
_atom_site_label
_atom_site_fract_x
_atom_site_fract_y
_atom_site_fract_z
_atom_site_occupancy
La1 0.678 0.822 0.500 1
La2 0.322 0.178 0.500 1
La3 0.822 0.322 0.500 1
La4 0.178 0.678 0.500 1
Pd1 0.127 0.373 0.000 1
Pd2 0.627 0.127 0.000 1
Pd3 0.373 0.873 0.000 1
Pd4 0.873 0.627 0.000 1
Au1 0.000 0.000 0.000 1
Au2 0.500 0.500 0.000 1
```

## Properties
As for the formation energy from the elements: -859 meV/atom. As for the space group: No. 127.


9.
# LaPd3Au2

An optimized crystal structure of LaPd3Au2 (GGA-PBE, OQMD via LeMat-Bulk).

Cell and atoms, written as CIF:
```
data_LaPd3Au2
_symmetry_space_group_name_H-M 'P 1'
_symmetry_Int_Tables_number 1
_cell_length_a 5.508
_cell_length_b 5.508
_cell_length_c 4.524
_cell_angle_alpha 90.00
_cell_angle_beta 90.00
_cell_angle_gamma 120.00
loop_
_symmetry_equiv_pos_as_xyz
'x,y,z'
loop_
_atom_site_label
_atom_site_fract_x
_atom_site_fract_y
_atom_site_fract_z
_atom_site_occupancy
Au1 0.667 0.333 0.000 1
Au2 0.333 0.667 0.000 1
La1 0.000 0.000 0.000 1
Pd1 0.000 0.500 0.500 1
Pd2 0.500 0.500 0.500 1
Pd3 0.500 0.000 0.500 1
```

## Properties
As for the formation energy from the elements: -619 meV/atom. As for the space group: No. 191.


10.
# LaPdAu

An optimized crystal structure of LaPdAu (GGA-PBE, OQMD via LeMat-Bulk).

Cell and atoms, written as CIF:
```
data_LaPdAu
_symmetry_space_group_name_H-M 'P 1'
_symmetry_Int_Tables_number 1
_cell_length_a 4.767
_cell_length_b 4.767
_cell_length_c 4.767
_cell_angle_alpha 60.00
_cell_angle_beta 60.00
_cell_angle_gamma 60.00
loop_
_symmetry_equiv_pos_as_xyz
'x,y,z'
loop_
_atom_site_label
_atom_site_fract_x
_atom_site_fract_y
_atom_site_fract_z
_atom_site_occupancy
La1 0.750 0.750 0.750 1
Pd1 0.000 0.000 0.000 1
Au1 0.250 0.250 0.250 1
```

## Properties
As for the formation energy from the elements: -749 meV/atom. As for the space group: No. 216.


11.
# LaPr2Si4Pd2Au2

An optimized crystal structure of LaPr2Si4Pd2Au2 (GGA-PBE, OQMD via LeMat-Bulk).

Cell and atoms, written as CIF:
```
data_LaPr2Si4Pd2Au2
_symmetry_space_group_name_H-M 'P 1'
_symmetry_Int_Tables_number 1
_cell_length_a 12.713
_cell_length_b 12.713
_cell_length_c 12.713
_cell_angle_alpha 160.48
_cell_angle_beta 160.48
_cell_angle_gamma 27.74
loop_
_symmetry_equiv_pos_as_xyz
'x,y,z'
loop_
_atom_site_label
_atom_site_fract_x
_atom_site_fract_y
_atom_site_fract_z
_atom_site_occupancy
Pd1 0.249 0.249 0.000 1
Pd2 0.751 0.751 0.000 1
Au1 0.599 0.099 0.500 1
Au2 0.401 0.901 0.500 1
Si1 0.548 0.548 0.000 1
Si2 0.301 0.801 0.500 1
Si3 0.452 0.452 0.000 1
Si4 0.699 0.199 0.500 1
La1 0.000 0.000 0.000 1
Pr1 0.850 0.350 0.500 1
Pr2 0.150 0.650 0.500 1
```

## Properties
The total energy comes out at -5.699 eV/atom. As for the space group: No. 71.


12.
# La2PrZn3Pd2Au

An optimized crystal structure of La2PrZn3Pd2Au (GGA-PBE, OQMD via LeMat-Bulk).

Cell and atoms, written as CIF:
```
data_La2PrZn3Pd2Au
_symmetry_space_group_name_H-M 'P 1'
_symmetry_Int_Tables_number 1
_cell_length_a 4.069
_cell_length_b 7.562
_cell_length_c 7.562
_cell_angle_alpha 120.29
_cell_angle_beta 90.00
_cell_angle_gamma 90.00
loop_
_symmetry_equiv_pos_as_xyz
'x,y,z'
loop_
_atom_site_label
_atom_site_fract_x
_atom_site_fract_y
_atom_site_fract_z
_atom_site_occupancy
Zn1 0.500 0.997 0.752 1
Zn2 0.500 0.752 0.997 1
Zn3 0.500 0.251 0.251 1
Pd1 0.500 0.331 0.667 1
Pd2 0.500 0.667 0.331 1
Pr1 0.000 0.589 0.589 1
La1 0.000 0.999 0.413 1
La2 0.000 0.413 0.999 1
Au1 0.000 0.001 0.001 1
```

## Properties
As for the formation energy from the elements: -684 meV/atom. As for the space group: No. 38.


Total magnetization values (in μB per atom) by entry order: 0.0012 0.0010 0.0008 0.0011 0.0012 0.0001 0.0000 0.0017 0.0000 0.0007 0.0016 0.0006.